(1)
A geometry-optimized Sr2Ho2Bi2P structure, computed with PBE-GGA.

Computed properties:
Density, g cm⁻³: 6.645
Magnetic moment, μB per formula unit: 0.00
Uncorrected energy, eV/atom: -4.66
N(E_F), states/eV/cell: 5.785
DFT formation energy, meV per atom: -992.7

a b c (Å): 5.257 5.257 17.255
angles (deg): 90.00 90.00 90.00
Space group I4/mmm (No. 139)
Asymmetric unit:
1 Sr 0.000 0.000 0.173 [4 per cell]
2 Ho 0.000 0.500 0.000 [4 per cell]
3 Bi 0.000 0.000 0.373 [4 per cell]
4 P 0.000 0.000 0.000 [2 per cell]

---

(2)
A geometry-optimized Ho2Tm2Bi2P structure, computed with PBE-GGA.

Computed properties:
Density, g cm⁻³: 8.938
Magnetic moment, μB per formula unit: 0.00
Uncorrected energy, eV/atom: -5.20
N(E_F), states/eV/cell: 10.840
DFT formation energy, meV per atom: -736.2

a b c (Å): 5.083 5.083 16.060
angles (deg): 90.00 90.00 90.00
Space group I4/mmm (No. 139)
Asymmetric unit:
1 Ho 0.000 0.000 0.165 [4 per cell]
2 Tm 0.000 0.500 0.000 [4 per cell]
3 Bi 0.000 0.000 0.362 [4 per cell]
4 P 0.000 0.000 0.000 [2 per cell]

---

(3)
A geometry-optimized Ho2PaBi structure, computed with PBE-GGA.

Computed properties:
Density, g cm⁻³: 11.679
Magnetic moment, μB per formula unit: 0.00
Uncorrected energy, eV/atom: -5.75
N(E_F), states/eV/cell: 6.397
DFT formation energy, meV per atom: -114.4

a b c (Å): 4.924 4.924 4.515
angles (deg): 90.00 90.00 90.00
Space group P4/mmm (No. 123)
Asymmetric unit:
1 Ho 0.000 0.500 0.000 [2 per cell]
2 Pa 0.000 0.000 0.500 [1 per cell]
3 Bi 0.500 0.500 0.500 [1 per cell]

---

(4)
A geometry-optimized Ho2PaBi structure, computed with PBE-GGA.

Computed properties:
Density, g cm⁻³: 10.528
Magnetic moment, μB per formula unit: 0.00
Uncorrected energy, eV/atom: -5.53
N(E_F), states/eV/cell: 18.861
DFT formation energy, meV per atom: 106.7

a b c (Å): 3.4394 3.4394 35.5583
angles (deg): 90.00 90.00 120.00
Space group R-3m (No. 166, hexagonal axes)
Asymmetric unit:
1 Ho 0.0000 0.0000 0.0901 [6 per cell]
2 Pa 0.0000 0.0000 0.5000 [3 per cell]
3 Bi 0.0000 0.0000 0.0000 [3 per cell]

---

(5)
A geometry-optimized HoPaBi structure, computed with PBE-GGA.

Computed properties:
Density, g cm⁻³: 11.534
Magnetic moment, μB per formula unit: 1.06
Uncorrected energy, eV/atom: -6.02
N(E_F), states/eV/cell: 11.711
DFT formation energy, meV per atom: -33.5

a b c (Å): 3.962 3.962 11.095
angles (deg): 90.00 90.00 90.00
Space group I4mm (No. 107)
Asymmetric unit:
1 Ho 0.000 0.000 0.000 [2 per cell]
2 Pa 0.000 0.000 0.310 [2 per cell]
3 Bi 0.000 0.000 0.649 [2 per cell]

---

(6)
A geometry-optimized HoPaBi2 structure, computed with PBE-GGA.

Computed properties:
Density, g cm⁻³: 11.873
Magnetic moment, μB per formula unit: 1.76
Uncorrected energy, eV/atom: -5.77
N(E_F), states/eV/cell: 19.359
DFT formation energy, meV per atom: -313.6

a b c (Å): 7.693 7.693 7.693
angles (deg): 90.00 90.00 90.00
Space group Fm-3m (No. 225)
Asymmetric unit:
1 Ho 0.000 0.000 0.000 [4 per cell]
2 Pa 0.000 0.000 0.500 [4 per cell]
3 Bi 0.250 0.250 0.250 [8 per cell]